K2SmW3O12 GGA+U optimized geometry; DFT total energy = -126.5 eV for the cell shown; crystal system = trigonal; calculated volume = 17.30 A^3/atom
1.0
7.679 0.108 0.077
3.886 6.624 0.077
3.886 2.262 6.226
K Sm W O
2 1 3 12
direct
0.654 0.654 0.654 K
0.346 0.346 0.346 K
0.000 0.000 0.000 Sm
0.500 0.000 0.000 W
0.000 0.500 0.000 W
0.000 0.000 0.500 W
0.296 0.296 0.932 O
0.917 0.917 0.367 O
0.367 0.917 0.917 O
0.932 0.296 0.296 O
0.917 0.367 0.917 O
0.296 0.932 0.296 O
0.704 0.704 0.068 O
0.083 0.083 0.633 O
0.633 0.083 0.083 O
0.068 0.704 0.704 O
0.083 0.633 0.083 O
0.704 0.068 0.704 O